# LaPtC2 PBE optimized geometry
# energy relative to the elements = 543 meV/atom
# total DFT energy (no corrections) = -0.5006 Ry per atom
data_LaPtC2
_chemical_formula_sum 'La4 Pt4 C8'
_cell_length_a 5.018
_cell_length_b 5.018
_cell_length_c 10.974
_cell_angle_alpha 90.00
_cell_angle_beta 90.00
_cell_angle_gamma 90.00
_space_group_name_H-M_alt 'I -4 2 d'
_space_group_IT_number 122
_space_group_name_Hall 'I -4 2bw'
loop_
_atom_site_label
_atom_site_type_symbol
_atom_site_fract_x
_atom_site_fract_y
_atom_site_fract_z
La1 La 0.000 0.000 0.000
Pt1 Pt 0.000 0.000 0.500
C1 C 0.156 0.250 0.625

---

# Ba4Pb3 PBE optimized geometry
# energy relative to the elements = -293 meV/atom
# total DFT energy (no corrections) = -0.2191 Ry per atom
data_Ba4Pb3
_chemical_formula_sum 'Ba4 Pb3'
_cell_length_a 6.8916
_cell_length_b 6.8916
_cell_length_c 7.0382
_cell_angle_alpha 90.00
_cell_angle_beta 90.00
_cell_angle_gamma 120.00
_space_group_name_H-M_alt 'P 6/m m m'
_space_group_IT_number 191
_space_group_name_Hall '-P 6 2'
loop_
_atom_site_label
_atom_site_type_symbol
_atom_site_fract_x
_atom_site_fract_y
_atom_site_fract_z
Ba1 Ba 0.0000 0.0000 0.2354
Ba2 Ba 0.3333 0.6667 0.5000
Pb1 Pb 0.0000 0.5000 0.0000

---

# SiCl PBE optimized geometry
# ΔE to the lowest computed polymorph = 374.4 meV/atom
# E_form (uncorrected) = -29 kJ per mole of atoms
# total DFT energy (no corrections) = -0.2892 Ry per atom
data_SiCl
_chemical_formula_sum 'Si4 Cl4'
_cell_length_a 11.213
_cell_length_b 3.922
_cell_length_c 6.132
_cell_angle_alpha 90.00
_cell_angle_beta 97.64
_cell_angle_gamma 90.00
_space_group_name_H-M_alt 'C 1 2/m 1'
_space_group_IT_number 12
_space_group_name_Hall '-C 2y'
loop_
_atom_site_label
_atom_site_type_symbol
_atom_site_fract_x
_atom_site_fract_y
_atom_site_fract_z
Si1 Si 0.247 0.000 0.399
Cl1 Cl 0.112 0.500 0.791

---

# SrMg2CuRh PBE optimized geometry
# energy relative to the elements = -88 meV/atom
# total DFT energy (no corrections) = -0.2464 Ry per atom
data_SrMg2CuRh
_chemical_formula_sum 'Sr1 Mg2 Cu1 Rh1'
_cell_length_a 4.924
_cell_length_b 4.924
_cell_length_c 5.020
_cell_angle_alpha 90.00
_cell_angle_beta 90.00
_cell_angle_gamma 90.00
_space_group_name_H-M_alt 'P 4/m m m'
_space_group_IT_number 123
_space_group_name_Hall '-P 4 2'
loop_
_atom_site_label
_atom_site_type_symbol
_atom_site_fract_x
_atom_site_fract_y
_atom_site_fract_z
Sr1 Sr 0.000 0.000 0.000
Mg1 Mg 0.000 0.500 0.500
Cu1 Cu 0.500 0.500 0.000
Rh1 Rh 0.500 0.500 0.500

---

# Sm2UC3 PBE optimized geometry
# ΔE to the lowest computed polymorph = 0.0 meV/atom
# energy relative to the elements = -153 meV/atom
# total DFT energy (no corrections) = -0.6041 Ry per atom
data_Sm2UC3
_chemical_formula_sum 'Sm8 U4 C12'
_cell_length_a 6.307
_cell_length_b 10.911
_cell_length_c 6.288
_cell_angle_alpha 90.00
_cell_angle_beta 109.64
_cell_angle_gamma 90.00
_space_group_name_H-M_alt 'C 1 2/m 1'
_space_group_IT_number 12
_space_group_name_Hall '-C 2y'
loop_
_atom_site_label
_atom_site_type_symbol
_atom_site_fract_x
_atom_site_fract_y
_atom_site_fract_z
Sm1 Sm 0.000 0.000 0.000
Sm2 Sm 0.000 0.165 0.500
Sm3 Sm 0.000 0.500 0.500
U1 U 0.000 0.333 0.000
C1 C 0.208 0.500 0.215
C2 C 0.247 0.318 0.784

---

# PrNdRuBr PBE optimized geometry
# E_form (uncorrected) = -70 kJ per mole of atoms
# total DFT energy (no corrections) = -0.4301 Ry per atom
data_PrNdRuBr
_chemical_formula_sum 'Pr3 Nd3 Ru3 Br3'
_cell_length_a 4.0870
_cell_length_b 4.0870
_cell_length_c 23.9317
_cell_angle_alpha 90.00
_cell_angle_beta 90.00
_cell_angle_gamma 120.00
_space_group_name_H-M_alt 'R 3 m'
_space_group_IT_number 160
_space_group_name_Hall 'R 3 -2"'
loop_
_atom_site_label
_atom_site_type_symbol
_atom_site_fract_x
_atom_site_fract_y
_atom_site_fract_z
Pr1 Pr 0.0000 0.0000 0.0000
Nd1 Nd 0.0000 0.0000 0.7978
Ru1 Ru 0.0000 0.0000 0.3995
Br1 Br 0.0000 0.0000 0.2302

---

# HgSbTe2 PBE optimized geometry
# ΔE to the lowest computed polymorph = 312.3 meV/atom
# E_form (uncorrected) = 22 kJ per mole of atoms
# total DFT energy (no corrections) = -0.1797 Ry per atom
data_HgSbTe2
_chemical_formula_sum 'Hg1 Sb1 Te2'
_cell_length_a 3.565
_cell_length_b 3.565
_cell_length_c 9.672
_cell_angle_alpha 90.00
_cell_angle_beta 90.00
_cell_angle_gamma 90.00
_space_group_name_H-M_alt 'P 4 m m'
_space_group_IT_number 99
_space_group_name_Hall 'P 4 -2'
loop_
_atom_site_label
_atom_site_type_symbol
_atom_site_fract_x
_atom_site_fract_y
_atom_site_fract_z
Hg1 Hg 0.000 0.000 0.000
Sb1 Sb 0.500 0.500 0.251
Te1 Te 0.000 0.000 0.425
Te2 Te 0.500 0.500 0.753

---

# NdTmTh2Bi5 PBE optimized geometry
# energy relative to the elements = 179 meV/atom
# total DFT energy (no corrections) = -0.3419 Ry per atom
data_NdTmTh2Bi5
_chemical_formula_sum 'Nd1 Tm1 Th2 Bi5'
_cell_length_a 5.545
_cell_length_b 5.545
_cell_length_c 11.718
_cell_angle_alpha 90.00
_cell_angle_beta 90.00
_cell_angle_gamma 90.00
_space_group_name_H-M_alt 'P 4/m m m'
_space_group_IT_number 123
_space_group_name_Hall '-P 4 2'
loop_
_atom_site_label
_atom_site_type_symbol
_atom_site_fract_x
_atom_site_fract_y
_atom_site_fract_z
Nd1 Nd 0.000 0.000 0.000
Tm1 Tm 0.000 0.000 0.500
Th1 Th 0.500 0.500 0.200
Bi1 Bi 0.000 0.000 0.257
Bi2 Bi 0.000 0.500 0.000
Bi3 Bi 0.500 0.500 0.500

---

# Li2Tl2Bi PBE optimized geometry
# ΔE to the lowest computed polymorph = 51.8 meV/atom
# energy relative to the elements = -160 meV/atom
# total DFT energy (no corrections) = -0.1946 Ry per atom
data_Li2Tl2Bi
_chemical_formula_sum 'Li4 Tl4 Bi2'
_cell_length_a 8.489
_cell_length_b 8.489
_cell_length_c 3.407
_cell_angle_alpha 90.00
_cell_angle_beta 90.00
_cell_angle_gamma 90.00
_space_group_name_H-M_alt 'P 4/m b m'
_space_group_IT_number 127
_space_group_name_Hall '-P 4 2ab'
loop_
_atom_site_label
_atom_site_type_symbol
_atom_site_fract_x
_atom_site_fract_y
_atom_site_fract_z
Li1 Li 0.173 0.327 0.000
Tl1 Tl 0.129 0.629 0.500
Bi1 Bi 0.000 0.000 0.500

---

# CaTaAg PBE optimized geometry
# ΔE to the lowest computed polymorph = 140.1 meV/atom
# energy relative to the elements = 264 meV/atom
# total DFT energy (no corrections) = -0.3899 Ry per atom
data_CaTaAg
_chemical_formula_sum 'Ca4 Ta4 Ag4'
_cell_length_a 5.191
_cell_length_b 6.276
_cell_length_c 8.442
_cell_angle_alpha 90.00
_cell_angle_beta 90.00
_cell_angle_gamma 90.00
_space_group_name_H-M_alt 'I m m a'
_space_group_IT_number 74
_space_group_name_Hall '-I 2b 2'
loop_
_atom_site_label
_atom_site_type_symbol
_atom_site_fract_x
_atom_site_fract_y
_atom_site_fract_z
Ca1 Ca 0.000 0.250 0.119
Ta1 Ta 0.250 0.250 0.750
Ag1 Ag 0.000 0.000 0.500

---

# BeZn2Cd PBE optimized geometry
# ΔE to the lowest computed polymorph = 120.9 meV/atom
# energy relative to the elements = 272 meV/atom
# total DFT energy (no corrections) = -0.1121 Ry per atom
data_BeZn2Cd
_chemical_formula_sum 'Be1 Zn2 Cd1'
_cell_length_a 2.976
_cell_length_b 4.225
_cell_length_c 5.050
_cell_angle_alpha 90.00
_cell_angle_beta 93.32
_cell_angle_gamma 90.00
_space_group_name_H-M_alt 'P 1 2/m 1'
_space_group_IT_number 10
_space_group_name_Hall '-P 2y'
loop_
_atom_site_label
_atom_site_type_symbol
_atom_site_fract_x
_atom_site_fract_y
_atom_site_fract_z
Be1 Be 0.000 0.000 0.000
Zn1 Zn 0.031 0.500 0.242
Cd1 Cd 0.500 0.000 0.500

---

# PaGe2Pd PBE optimized geometry
# energy relative to the elements = -559 meV/atom
# total DFT energy (no corrections) = -0.4806 Ry per atom
data_PaGe2Pd
_chemical_formula_sum 'Pa4 Ge8 Pd4'
_cell_length_a 4.188
_cell_length_b 4.188
_cell_length_c 17.698
_cell_angle_alpha 90.00
_cell_angle_beta 90.00
_cell_angle_gamma 90.00
_space_group_name_H-M_alt 'I 4/m m m'
_space_group_IT_number 139
_space_group_name_Hall '-I 4 2'
loop_
_atom_site_label
_atom_site_type_symbol
_atom_site_fract_x
_atom_site_fract_y
_atom_site_fract_z
Pa1 Pa 0.000 0.000 0.119
Ge1 Ge 0.000 0.000 0.347
Ge2 Ge 0.000 0.500 0.000
Pd1 Pd 0.000 0.500 0.250